Density functional theory data (PBE-GGA) for an optimized crystal structure of TlIr8.

## Properties
The total energy is -143.4 eV for the cell shown. As for the crystal system: monoclinic. The total magnetic moment is 0.0 μB/f.u.

Cell: 4.7143 4.7143 29.9316 Å, 90.09 90.09 48.36°
Closest atoms and distances in Å follow each position.
Positions (direct):
Ir1 0.9507 0.9507 0.0436  12 Ir 2.72-2.74
Ir2 0.3497 0.3497 0.9860  12 Ir 2.72-2.75
Ir3 0.2506 0.2506 0.7848  6 Ir 2.67-2.72, 3 Tl 2.93-2.95
Ir4 0.5532 0.5532 0.1009  12 Ir 2.71-2.76
Ir5 0.8496 0.8496 0.8394  11 Ir 2.67-2.78
Ir6 0.4487 0.4487 0.1868  9 Ir 2.68-2.72
Ir7 0.7494 0.7494 0.2152  6 Ir 2.67-2.72, 3 Tl 2.93-2.95
Ir8 0.0493 0.0493 0.9564  12 Ir 2.72-2.74
Ir9 0.7481 0.7481 0.9274  12 Ir 2.72-2.78
Ir10 0.4468 0.4468 0.8991  12 Ir 2.71-2.76
Ir11 0.5513 0.5513 0.8132  9 Ir 2.68-2.72
Ir12 0.2519 0.2519 0.0726  12 Ir 2.72-2.78
Ir13 0.1487 0.1487 0.8698  12 Ir 2.69-2.75
Ir14 0.1504 0.1504 0.1606  11 Ir 2.67-2.78
Ir15 0.8513 0.8513 0.1302  12 Ir 2.69-2.75
Ir16 0.6503 0.6503 0.0140  12 Ir 2.72-2.75
Tl1 0.9516 0.9516 0.7377  6 Ir 2.93-3.17
Tl2 0.0484 0.0484 0.2623  6 Ir 2.93-3.17

Density functional theory data (PBE-GGA) for an optimized crystal structure of TlIr124.

## Properties
The total energy is -1099.0 eV for the cell shown. As for the crystal system: cubic. The total magnetic moment is 0.1 μB/f.u.

Cell: 13.7156 13.7156 13.7156 Å, 60.00 60.00 60.00°
Closest atoms and distances in Å follow each position.
Positions (direct):
Ir1 0.0000 0.2051 0.0000  11 Ir 2.70-2.81, 1 Tl 2.81
Ir2 0.4005 0.0000 0.7998  12 Ir 2.71-2.76
Ir3 0.7998 0.6000 0.2002  12 Ir 2.74-2.75
Ir4 0.6002 0.0000 0.6002  12 Ir 2.73-2.75
Ir5 0.6002 0.6002 0.7996  12 Ir 2.73-2.75
Ir6 0.2001 0.2001 0.2001  12 Ir 2.74
Ir7 0.7998 0.7998 0.0000  12 Ir 2.71-2.76
Ir8 0.7999 0.7999 0.7999  12 Ir 2.74
Ir9 0.4000 0.2002 0.6000  12 Ir 2.74-2.75
Ir10 0.4001 0.5999 0.5999  12 Ir 2.74
Ir11 0.0000 0.7949 0.2051  11 Ir 2.70-2.81, 1 Tl 2.81
Ir12 0.5995 0.2002 0.0000  12 Ir 2.71-2.76
Ir13 0.4000 0.2002 0.7998  12 Ir 2.74-2.75
Ir14 0.2000 0.6000 0.6000  12 Ir 2.74
Ir15 0.2002 0.5995 0.2002  12 Ir 2.71-2.76
Ir16 0.7999 0.6002 0.7999  12 Ir 2.74
Ir17 0.6000 0.2000 0.6000  12 Ir 2.74
Ir18 0.7998 0.7998 0.4005  12 Ir 2.71-2.76
Ir19 0.0000 0.2002 0.5995  12 Ir 2.71-2.76
Ir20 0.2002 0.5995 0.0000  12 Ir 2.71-2.76
Ir21 0.6002 0.7996 0.0000  12 Ir 2.73-2.75
Ir22 0.7998 0.0000 0.7998  12 Ir 2.71-2.76
Ir23 0.4001 0.5999 0.4001  12 Ir 2.74
Ir24 0.5995 0.2002 0.2002  12 Ir 2.71-2.76
Ir25 0.0000 0.5982 0.0000  12 Ir 2.70-2.76
Ir26 0.7998 0.2002 0.4000  12 Ir 2.74-2.75
Ir27 0.5982 0.0000 0.0000  12 Ir 2.70-2.76
Ir28 0.6000 0.6000 0.6000  12 Ir 2.74
Ir29 0.7949 0.0000 0.0000  11 Ir 2.70-2.81, 1 Tl 2.81
Ir30 0.7998 0.6000 0.4000  12 Ir 2.74-2.75
Ir31 0.4000 0.4000 0.4000  12 Ir 2.74
Ir32 0.0000 0.2004 0.3998  12 Ir 2.73-2.75
Ir33 0.0000 0.5995 0.2002  12 Ir 2.71-2.76
Ir34 0.5999 0.5999 0.4001  12 Ir 2.74
Ir35 0.6000 0.4000 0.2002  12 Ir 2.74-2.75
Ir36 0.4018 0.5982 0.0000  12 Ir 2.70-2.76
Ir37 0.4000 0.4000 0.8000  12 Ir 2.74
Ir38 0.0000 0.2051 0.7949  11 Ir 2.70-2.81, 1 Tl 2.81
Ir39 0.0000 0.0000 0.4018  12 Ir 2.70-2.76
Ir40 0.7998 0.2002 0.6000  12 Ir 2.74-2.75
Ir41 0.2002 0.0000 0.2002  12 Ir 2.71-2.76
Ir42 0.2004 0.3998 0.0000  12 Ir 2.73-2.75
Ir43 0.1997 0.8003 0.8003  12 Ir 2.74-2.75
Ir44 0.3998 0.2004 0.3998  12 Ir 2.73-2.75
Ir45 0.6002 0.6002 0.0000  12 Ir 2.73-2.75
Ir46 0.0000 0.3998 0.2004  12 Ir 2.73-2.75
Ir47 0.0000 0.7998 0.7998  12 Ir 2.71-2.76
Ir48 0.7998 0.0000 0.4005  12 Ir 2.71-2.76
Ir49 0.2051 0.0000 0.0000  11 Ir 2.70-2.81, 1 Tl 2.81
Ir50 0.2002 0.6000 0.7998  12 Ir 2.74-2.75
Ir51 0.4000 0.6000 0.2002  12 Ir 2.74-2.75
Ir52 0.4018 0.0000 0.0000  12 Ir 2.70-2.76
Ir53 0.7996 0.6002 0.0000  12 Ir 2.73-2.75
Ir54 0.0000 0.0000 0.7949  11 Ir 2.70-2.81, 1 Tl 2.81
Ir55 0.6002 0.0000 0.7996  12 Ir 2.73-2.75
Ir56 0.0000 0.0000 0.5982  12 Ir 2.70-2.76
Ir57 0.4000 0.8000 0.4000  12 Ir 2.74
Ir58 0.0000 0.7998 0.4005  12 Ir 2.71-2.76
Ir59 0.7996 0.0000 0.6002  12 Ir 2.73-2.75
Ir60 0.2004 0.0000 0.3998  12 Ir 2.73-2.75
Ir61 0.2002 0.7998 0.6000  12 Ir 2.74-2.75
Ir62 0.0000 0.2002 0.2002  12 Ir 2.71-2.76
Ir63 0.5999 0.4001 0.5999  12 Ir 2.74
Ir64 0.6000 0.2002 0.7998  12 Ir 2.74-2.75
Ir65 0.4000 0.7998 0.2002  12 Ir 2.74-2.75
Ir66 0.4000 0.7998 0.6000  12 Ir 2.74-2.75
Ir67 0.3998 0.3998 0.2004  12 Ir 2.73-2.75
Ir68 0.7998 0.4000 0.6000  12 Ir 2.74-2.75
Ir69 0.3998 0.0000 0.2004  12 Ir 2.73-2.75
Ir70 0.3998 0.0000 0.3998  12 Ir 2.73-2.75
Ir71 0.4005 0.7998 0.0000  12 Ir 2.71-2.76
Ir72 0.2002 0.2002 0.5995  12 Ir 2.71-2.76
Ir73 0.4001 0.4001 0.5999  12 Ir 2.74
Ir74 0.5982 0.4018 0.0000  12 Ir 2.70-2.76
Ir75 0.0000 0.7949 0.0000  11 Ir 2.70-2.81, 1 Tl 2.81
Ir76 0.2051 0.0000 0.7949  11 Ir 2.70-2.81, 1 Tl 2.81
Ir77 0.6000 0.7998 0.4000  12 Ir 2.74-2.75
Ir78 0.5982 0.0000 0.4018  12 Ir 2.70-2.76
Ir79 0.7949 0.0000 0.2051  11 Ir 2.70-2.81, 1 Tl 2.81
Ir80 0.5995 0.0000 0.2002  12 Ir 2.71-2.76
Ir81 0.0000 0.6002 0.6002  12 Ir 2.73-2.75
Ir82 0.4018 0.0000 0.5982  12 Ir 2.70-2.76
Ir83 0.2002 0.4000 0.6000  12 Ir 2.74-2.75
Ir84 0.4000 0.6000 0.7998  12 Ir 2.74-2.75
Ir85 0.2002 0.2002 0.0000  12 Ir 2.71-2.76
Ir86 0.6000 0.4000 0.7998  12 Ir 2.74-2.75
Ir87 0.6002 0.7999 0.7999  12 Ir 2.74
Ir88 0.5999 0.4001 0.4001  12 Ir 2.74
Ir89 0.8003 0.1997 0.8003  12 Ir 2.74-2.75
Ir90 0.6000 0.2002 0.4000  12 Ir 2.74-2.75
Ir91 0.3998 0.3998 0.0000  12 Ir 2.73-2.75
Ir92 0.7996 0.6002 0.6002  12 Ir 2.73-2.75
Ir93 0.2001 0.3998 0.2001  12 Ir 2.74
Ir94 0.8003 0.8003 0.1997  12 Ir 2.74-2.75
Ir95 0.0000 0.0000 0.2051  11 Ir 2.70-2.81, 1 Tl 2.81
Ir96 0.7998 0.4005 0.7998  12 Ir 2.71-2.76
Ir97 0.8000 0.4000 0.4000  12 Ir 2.74
Ir98 0.2001 0.2001 0.3998  12 Ir 2.74
Ir99 0.0000 0.4005 0.7998  12 Ir 2.71-2.76
Ir100 0.6000 0.7998 0.2002  12 Ir 2.74-2.75
Ir101 0.7998 0.4005 0.0000  12 Ir 2.71-2.76
Ir102 0.6002 0.7996 0.6002  12 Ir 2.73-2.75
Ir103 0.2002 0.4000 0.7998  12 Ir 2.74-2.75
Ir104 0.7999 0.7999 0.6002  12 Ir 2.74
Ir105 0.7998 0.4000 0.2002  12 Ir 2.74-2.75
Ir106 0.8003 0.1997 0.1997  12 Ir 2.74-2.75
Ir107 0.0000 0.7996 0.6002  12 Ir 2.73-2.75
Ir108 0.2002 0.0000 0.5995  12 Ir 2.71-2.76
Ir109 0.7949 0.2051 0.0000  11 Ir 2.70-2.81, 1 Tl 2.81
Ir110 0.4005 0.7998 0.7998  12 Ir 2.71-2.76
Ir111 0.0000 0.4018 0.0000  12 Ir 2.70-2.76
Ir112 0.0000 0.4018 0.5982  12 Ir 2.70-2.76
Ir113 0.6000 0.6000 0.2000  12 Ir 2.74
Ir114 0.2002 0.6000 0.4000  12 Ir 2.74-2.75
Ir115 0.0000 0.3998 0.3998  12 Ir 2.73-2.75
Ir116 0.2004 0.3998 0.3998  12 Ir 2.73-2.75
Ir117 0.0000 0.6002 0.7996  12 Ir 2.73-2.75
Ir118 0.3998 0.2001 0.2001  12 Ir 2.74
Ir119 0.2051 0.7949 0.0000  11 Ir 2.70-2.81, 1 Tl 2.81
Ir120 0.1997 0.8003 0.1997  12 Ir 2.74-2.75
Ir121 0.0000 0.5982 0.4018  12 Ir 2.70-2.76
Ir122 0.3998 0.2004 0.0000  12 Ir 2.73-2.75
Ir123 0.1997 0.1997 0.8003  12 Ir 2.74-2.75
Ir124 0.2002 0.7998 0.4000  12 Ir 2.74-2.75
Tl1 0.0000 0.0000 0.0000  12 Ir 2.81

Density functional theory data (PBE-GGA) for an optimized crystal structure of Tl3Ir.

## Properties
The total energy is -27.5 eV for the cell shown. As for the crystal system: cubic. The total magnetic moment is 0.0 μB/f.u.

Cell: 5.6370 5.6370 5.6370 Å, 90.00 90.00 90.00°
Closest atoms and distances in Å follow each position.
Positions (direct):
Tl1 0.5000 0.2500 0.0000  2 Tl 2.82, 4 Ir 3.15
Tl2 0.5000 0.7500 0.0000  2 Tl 2.82, 4 Ir 3.15
Tl3 0.2500 0.0000 0.5000  2 Tl 2.82, 4 Ir 3.15
Tl4 0.0000 0.5000 0.7500  2 Tl 2.82, 4 Ir 3.15
Tl5 0.0000 0.5000 0.2500  2 Tl 2.82, 4 Ir 3.15
Tl6 0.7500 0.0000 0.5000  2 Tl 2.82, 4 Ir 3.15
Ir1 0.0000 0.0000 0.0000  12 Tl 3.15
Ir2 0.5000 0.5000 0.5000  12 Tl 3.15

Density functional theory data (PBE-GGA) for an optimized crystal structure of TlIr2.

## Properties
The total energy is -36.7 eV for the cell shown. As for the crystal system: cubic. The relative energy among the computed polymorphs comes out at 0 meV per atom. The total magnetic moment is 0.0 μB/f.u.

Cell: 5.3675 5.3675 5.3675 Å, 60.00 60.00 60.00°
Closest atoms and distances in Å follow each position.
Positions (direct):
Tl1 0.0000 0.0000 0.0000  12 Ir 3.15, 4 Tl 3.29
Tl2 0.2500 0.2500 0.2500  12 Ir 3.15, 4 Tl 3.29
Ir1 0.6250 0.6250 0.1250  6 Ir 2.68
Ir2 0.6250 0.1250 0.6250  6 Ir 2.68
Ir3 0.6250 0.6250 0.6250  6 Ir 2.68
Ir4 0.1250 0.6250 0.6250  6 Ir 2.68

Density functional theory data (PBE-GGA) for an optimized crystal structure of TlIr2.

## Properties
The total energy is -19.3 eV for the cell shown. As for the crystal system: cubic. The relative energy among the computed polymorphs comes out at 2899 meV per atom. The total magnetic moment is 3.7 μB/f.u.

Cell: 8.6069 8.6069 8.6069 Å, 60.00 60.00 60.00°
Closest atoms and distances in Å follow each position.
Positions (direct):
Ir1 0.1250 0.6250 0.6250  2 Tl 2.64
Ir2 0.6250 0.6250 0.1250  2 Tl 2.64
Ir3 0.6250 0.6250 0.6250  2 Tl 2.64
Ir4 0.6250 0.1250 0.6250  2 Tl 2.64
Tl1 0.5000 0.5000 0.5000  4 Ir 2.64
Tl2 0.7500 0.7500 0.7500  4 Ir 2.64

Density functional theory data (PBE-GGA) for an optimized crystal structure of TmTlIr.

## Properties
The total energy is -15.1 eV for the cell shown. As for the crystal system: cubic. The total magnetic moment is 0.0 μB/f.u.

Cell: 4.6773 4.6773 4.6773 Å, 60.00 60.00 60.00°
Closest atoms and distances in Å follow each position.
Positions (direct):
Tl1 0.0000 0.0000 0.0000  4 Tm 2.86, 4 Ir 2.86
Tm1 0.7500 0.7500 0.7500  4 Tl 2.86
Ir1 0.2500 0.2500 0.2500  4 Tl 2.86

Density functional theory data (PBE-GGA) for an optimized crystal structure of Tm3TlIr2.

## Properties
The total energy is -38.0 eV for the cell shown. As for the crystal system: tetragonal. The total magnetic moment is 0.0 μB/f.u.

Cell: 3.3422 3.3422 11.7925 Å, 90.00 90.00 90.00°
Closest atoms and distances in Å follow each position.
Positions (direct):
Tl1 0.0000 0.0000 0.5000  4 Tl 3.34, 8 Tm 3.42
Tm1 0.5000 0.5000 0.7092  4 Ir 2.88
Tm2 0.5000 0.5000 0.0000  8 Ir 2.96
Tm3 0.5000 0.5000 0.2908  4 Ir 2.88
Ir1 0.0000 0.0000 0.1507  8 Tm 2.88-2.96
Ir2 0.0000 0.0000 0.8493  8 Tm 2.88-2.96

Density functional theory data (PBE-GGA) for an optimized crystal structure of TmTlIr.

## Properties
The total energy is -15.2 eV for the cell shown. As for the crystal system: cubic. The total magnetic moment is 0.0 μB/f.u.

Cell: 4.7357 4.7357 4.7357 Å, 60.00 60.00 60.00°
Closest atoms and distances in Å follow each position.
Positions (direct):
Tm1 0.0000 0.0000 0.0000  4 Tl 2.90, 4 Ir 2.90
Tl1 0.7500 0.7500 0.7500  4 Tm 2.90
Ir1 0.2500 0.2500 0.2500  4 Tm 2.90

Density functional theory data (PBE-GGA) for an optimized crystal structure of Tl2Ir2W3.

## Properties
The total energy is -57.5 eV for the cell shown. As for the crystal system: trigonal. The total magnetic moment is 0.0 μB/f.u.

Cell: 7.6218 7.6218 7.6218 Å, 34.21 34.21 34.21°
Closest atoms and distances in Å follow each position.
Positions (direct):
Tl1 0.7659 0.7659 0.7659  6 Ir 2.92-2.93, 1 W 3.02
Tl2 0.1941 0.1941 0.1941  3 Ir 2.67, 3 W 2.87
W1 0.3384 0.3384 0.3384  3 Ir 2.67, 3 W 2.77
W2 0.9185 0.9185 0.9185  1 Ir 2.53, 3 W 2.73
W3 0.6255 0.6255 0.6255  6 W 2.73-2.77, 1 Ir 2.77, 1 Tl 3.02
Ir1 0.0360 0.0360 0.0360  4 W 2.53-2.67
Ir2 0.4966 0.4966 0.4966  6 Tl 2.67-2.93, 1 W 2.77